Record 1
A plane-wave DFT calculation with PBE-GGA was carried out for a relaxed structure of BaLi4AgSn2.

Results
The energy of formation from the pure elements is -0.334 eV per atom. The crystal system is trigonal. Its symmetry is R-3m, No. 166.

Cell: 4.7334 4.7334 9.9594 Å, 76.25 76.25 60.00°
With the nearest neighbours (Å) after each atom.
Fractional positions:
Li (0.5875, 0.5875, 0.2375)  1 Ag 2.51, 3 Sn 2.76
Li (0.4125, 0.4125, 0.7625)  1 Ag 2.51, 3 Sn 2.76
Li (0.1366, 0.1366, 0.5901)  3 Ag 2.87, 4 Sn 2.98-3.00, 3 Li 3.19
Li (0.8634, 0.8634, 0.4099)  3 Ag 2.87, 4 Sn 2.98-3.00, 3 Li 3.19
Sn (0.2402, 0.2402, 0.2795)  7 Li 2.76-3.00
Sn (0.7598, 0.7598, 0.7205)  7 Li 2.76-3.00
Ba (0.0000, 0.0000, 0.0000)  8 Li 3.56-3.93, 6 Sn 3.83
Ag (0.5000, 0.5000, 0.5000)  2 Li 2.51

***

Record 2
A plane-wave DFT calculation with PBE-GGA was carried out for a relaxed structure of Ba2LiAg4Sn3.

Results
The energy of formation from the pure elements is -0.384 eV per atom. The crystal system is tetragonal. Its symmetry is P-4m2, No. 115.

Cell: 4.8933 4.8933 11.1831 Å, 90.00 90.00 90.00°
With the nearest neighbours (Å) after each atom.
Fractional positions:
Ba (0.0000, 0.5000, 0.7563)  8 Ag 3.66-3.78, 6 Sn 3.68-3.77, 2 Li 3.77
Ba (0.5000, 0.0000, 0.2437)  8 Ag 3.66-3.78, 6 Sn 3.68-3.77, 2 Li 3.77
Sn (0.5000, 0.0000, 0.8691)  5 Ag 2.79-2.85
Sn (0.0000, 0.5000, 0.1309)  5 Ag 2.79-2.85
Sn (0.0000, 0.0000, 0.5000)  4 Ag 2.79
Ag (0.5000, 0.5000, 0.0000)  4 Sn 2.85
Ag (0.0000, 0.5000, 0.3803)  3 Sn 2.79, 2 Li 2.79
Ag (0.5000, 0.0000, 0.6197)  3 Sn 2.79, 2 Li 2.79
Ag (0.0000, 0.0000, 0.0000)  4 Sn 2.85
Li (0.5000, 0.5000, 0.5000)  4 Ag 2.79

***

Record 3
A plane-wave DFT calculation with PBE-GGA was carried out for a relaxed structure of BaSrLi2Ag2.

Results
The energy of formation from the pure elements is -0.193 eV per atom. The crystal system is trigonal. Its symmetry is P-3m1, No. 164.

Cell: 4.7977 4.7977 8.9719 Å, 90.00 90.00 120.00°
With the nearest neighbours (Å) after each atom.
Fractional positions:
Li (0.6667, 0.3333, 0.7314)  3 Ag 2.77
Li (0.3333, 0.6667, 0.2686)  3 Ag 2.77
Ag (0.6667, 0.3333, 0.2668)  3 Li 2.77
Ag (0.3333, 0.6667, 0.7332)  3 Li 2.77
Sr (0.0000, 0.0000, 0.5000)  6 Li 3.46, 6 Ag 3.47
Ba (0.0000, 0.0000, 0.0000)  6 Ag 3.66, 6 Li 3.67

***

Record 4
A plane-wave DFT calculation with PBE-GGA was carried out for a relaxed structure of Ba3Sr3Li2Ag.

Results
The energy of formation from the pure elements is -0.045 eV per atom. The crystal system is hexagonal. Its symmetry is P-62m, No. 189.

Cell: 4.8069 9.9542 9.9542 Å, 120.00 90.00 90.00°
With the nearest neighbours (Å) after each atom.
Fractional positions:
Sr (0.5000, 0.7617, 0.0000)  2 Ag 3.38
Sr (0.5000, 0.2383, 0.2383)  2 Ag 3.38
Sr (0.5000, 0.0000, 0.7617)  2 Ag 3.38
Ag (0.0000, 0.0000, 0.0000)  6 Sr 3.38
Ba (0.0000, 0.0000, 0.4041)  4 Li 3.87, 1 Ag 4.02, 6 Sr 4.25-4.30
Ba (0.0000, 0.5959, 0.5959)  4 Li 3.87, 1 Ag 4.02, 6 Sr 4.25-4.30
Ba (0.0000, 0.4041, 0.0000)  4 Li 3.87, 1 Ag 4.02, 6 Sr 4.25-4.30
Li (0.5000, 0.6667, 0.3333)  6 Ba 3.87, 3 Sr 3.88
Li (0.5000, 0.3333, 0.6667)  6 Ba 3.87, 3 Sr 3.88

***

In eV per atom, the E_tot values for the records above are, in order, -2.888, -3.302, -2.382, -1.989.